VASP calculation (PBE) on an optimized crystal structure of Rb2SbRuBr6.

POSCAR file:
```
Rb2SbRuBr6
1.0
7.7279 0.0000 0.0000
0.0000 7.7279 0.0000
3.8640 3.8640 5.4949
Br Sb Rb Ru
6 1 2 1
Cartesian
7.7279 7.7279 2.8975
2.0329 5.6950 0.0000
5.6950 5.6950 0.0000
3.8640 3.8640 2.5974
2.0329 2.0329 0.0000
5.6950 2.0329 0.0000
0.0000 0.0000 0.0000
3.8640 7.7279 2.7475
7.7279 3.8640 2.7475
3.8640 3.8640 0.0000
```

## Properties
- Raw total energy: -3.29 eV/atom
- Magnetization: 0.0 μB per cell
- Formation energy from raw total energies: -0.757 eV per atom
- N(E_F): 5.84 states/eV per cell